(1)
A plane-wave DFT calculation with GGA-PBE was carried out for a relaxed structure of RbCuSnCl6.

```
18
Lattice="6.620 0.000 0.000 -3.310 5.733 0.000 0.000 0.000 14.626" Properties=species:S:1:pos:R:3 pbc="T T T"
Rb 0.000 0.000 0.000
Rb 0.000 0.000 7.313
Cu 0.000 3.822 3.657
Cu 3.310 1.911 10.970
Sn 0.000 3.822 10.970
Sn 3.310 1.911 3.657
Cl -1.199 2.159 9.548
Cl -2.040 3.615 12.392
Cl 1.199 2.159 12.392
Cl -0.840 5.692 9.548
Cl 2.470 0.041 2.235
Cl 1.270 2.118 5.079
Cl 2.040 3.615 9.548
Cl 0.840 5.692 12.392
Cl 4.150 0.041 5.079
Cl 2.111 3.574 2.235
Cl 5.349 2.118 2.235
Cl 4.509 3.574 5.079
```

* energy relative to the elements, uncorrected: -9.5 eV per formula unit
* D(E_F): 0.202 states/eV/atom
* total magnetic moment: 0.2 μB/cell

(2)
A plane-wave DFT calculation with GGA-PBE was carried out for a relaxed structure of Rb2CuSnCl5.

```
18
Lattice="2.087 -9.599 0.000 2.087 9.599 0.000 0.000 0.000 13.681" Properties=species:S:1:pos:R:3 pbc="T T T"
Rb 2.087 7.389 6.841
Rb 2.087 7.195 1.696
Rb 2.087 -7.195 8.536
Rb 2.087 -7.389 0.000
Cu 2.087 0.408 3.637
Cu 2.087 -0.408 10.478
Sn 2.087 5.790 11.153
Sn 2.087 -5.790 4.312
Cl 2.087 9.086 11.453
Cl 2.087 3.948 6.286
Cl 2.087 3.873 2.327
Cl 2.087 3.152 11.133
Cl 2.087 0.068 1.398
Cl 2.087 -0.068 8.239
Cl 2.087 -3.152 4.292
Cl 2.087 -3.873 9.167
Cl 2.087 -3.948 13.126
Cl 2.087 -9.086 4.612
```

* energy relative to the elements, uncorrected: -11.8 eV per formula unit
* total magnetic moment: 0.0 μB/cell

(3)
A plane-wave DFT calculation with GGA-PBE was carried out for a relaxed structure of RbCu2SnCl6.

```
20
Lattice="5.109 -6.473 0.000 5.109 6.473 0.000 -1.875 0.000 8.699" Properties=species:S:1:pos:R:3 pbc="T T T"
Rb 3.704 4.837 6.524
Rb 4.641 -4.837 2.175
Cu 1.795 1.154 6.541
Cu 2.732 -1.154 2.192
Cu 5.612 1.154 6.507
Cu 6.549 -1.154 2.158
Sn 4.641 1.543 2.175
Sn 3.704 -1.543 6.524
Cl 2.755 3.254 2.166
Cl 0.952 0.020 4.925
Cl 1.889 -0.020 0.575
Cl 3.144 1.802 8.126
Cl 4.263 1.802 4.922
Cl 6.527 3.254 2.184
Cl 1.818 -3.254 6.515
Cl 4.082 -1.802 3.776
Cl 5.200 -1.802 0.573
Cl 6.455 0.020 8.123
Cl 7.392 -0.020 3.774
Cl 5.590 -3.254 6.533
```

* energy relative to the elements, uncorrected: -9.2 eV per formula unit
* D(E_F): 0.326 states/eV/atom
* total magnetic moment: 0.0 μB/cell